A plane-wave DFT calculation with PBE with a Hubbard U was carried out for an optimized crystal structure of BaSr2FeO4.

Lattice parameters (Å, degrees): 3.6398 6.4598 12.3920 90.00 90.00 106.36
Last column: nearest neighbours and their distance in Å.
Positions (direct):
O1 0.2646 0.5293 0.1268  1 Fe 2.01
O2 0.4297 0.8594 0.7500  2 Fe 2.13
Sr1 0.3700 0.7399 0.9556  6 O 2.49-2.67
Sr2 0.6300 0.2601 0.4556  6 O 2.49-2.67
O3 0.2646 0.5293 0.3732  1 Fe 2.01
Ba1 0.8900 0.7799 0.2500  6 O 2.84-2.88
Ba2 0.1100 0.2201 0.7500  6 O 2.84-2.88
O4 0.5703 0.1406 0.2500  2 Fe 2.13
Fe1 0.1592 0.3184 0.2500  4 O 2.01-2.13
Sr3 0.3700 0.7399 0.5444  6 O 2.49-2.67
O5 0.7354 0.4707 0.6268  1 Fe 2.01
Fe2 0.8408 0.6816 0.7500  4 O 2.01-2.13
Sr4 0.6300 0.2601 0.0444  6 O 2.49-2.67
O6 0.0000 0.0000 0.0000  4 Sr 2.49
O7 0.0000 0.0000 0.5000  4 Sr 2.49
O8 0.7354 0.4707 0.8732  1 Fe 2.01

Results
The volume is 17.5 Å³/atom. The space-group type is Cmcm, No. 63. For the total magnetization, the calculation gives 8.00 μB/cell. Its final energy is -98.4 eV for the cell shown.